Record 1
VASP calculation (GGA-PBE) on In2ReSF after structural relaxation.

```
In2ReSF
1.0
5.320 0.000 0.000
0.000 5.320 0.000
0.000 0.000 3.601
In Re S F
2 1 1 1
Direct
0.000 0.500 0.000
0.500 0.000 0.000
0.000 0.000 0.500
0.500 0.500 0.000
0.500 0.500 0.500
```

Calculated values
DOS at the Fermi energy ... 2.574 states/eV/f.u.
Size of the total moment ... 0.44 μB per atom
Crystal system ... tetragonal
Formation energy without anion corrections ... 0.687 eV per atom
Space group ... No. 123



Record 2
VASP calculation (GGA-PBE) on Th6Si2As3S after structural relaxation.

```
Th6Si2As3S
1.0
9.232 -2.114 0.000
9.232 2.114 0.000
-1.995 0.000 8.219
Th Si As S
6 2 3 1
Direct
0.001 0.001 0.245
0.331 0.331 0.421
0.335 0.335 0.913
0.665 0.665 0.087
0.669 0.669 0.579
0.999 0.999 0.755
0.165 0.165 0.330
0.835 0.835 0.670
0.167 0.167 0.833
0.500 0.500 0.500
0.833 0.833 0.167
0.500 0.500 0.000
```

Calculated values
DOS at the Fermi energy ... 6.355 states/eV/f.u.
Size of the total moment ... 0.00 μB per atom
Crystal system ... monoclinic
Formation energy without anion corrections ... -1.236 eV per atom
Space group ... No. 12



Record 3
VASP calculation (GGA-PBE) on ScHgGeIr2 after structural relaxation.

```
ScHgGeIr2
1.0
4.756 0.000 0.000
0.000 4.756 0.000
0.000 0.000 5.281
Sc Hg Ge Ir
1 1 1 2
Direct
0.000 0.000 0.000
0.000 0.000 0.500
0.500 0.500 0.500
0.000 0.500 0.000
0.500 0.000 0.000
```

Calculated values
DOS at the Fermi energy ... 3.507 states/eV/f.u.
Calculated formation energy ... 1.14 eV per atom
Size of the total moment ... 0.00 μB per atom
Crystal system ... tetragonal
Space group ... No. 123